# 1
## KBe2Co (GGA-PBE)

Data for a relaxed KBe2Co crystal.

```
data_KBe2Co
_cell_length_a 4.417
_cell_length_b 4.417
_cell_length_c 4.417
_cell_angle_alpha 60.00
_cell_angle_beta 60.00
_cell_angle_gamma 60.00
_symmetry_space_group_name_H-M 'P 1'
_symmetry_Int_Tables_number 1
loop_
_symmetry_equiv_pos_as_xyz
'x,y,z'
loop_
_atom_site_label
_atom_site_fract_x
_atom_site_fract_y
_atom_site_fract_z
K1 0.000 0.000 0.000
Be1 0.500 0.500 0.500
Be2 0.750 0.750 0.750
Co1 0.250 0.250 0.250
```

Output
Space-group type: F-43m, No. 216
Crystal system: cubic
E_form, eV per formula unit: 5.54
Relative energy among the computed polymorphs, kJ per mole of atoms: 106.88
Electronic total energy, eV/atom: -2.529
V, Å³ per cell: 60.9

---

# 2
## KBe2Co (GGA-PBE)

Data for a relaxed KBe2Co crystal.

```
data_KBe2Co
_cell_length_a 4.674
_cell_length_b 4.674
_cell_length_c 4.674
_cell_angle_alpha 129.16
_cell_angle_beta 129.16
_cell_angle_gamma 74.75
_symmetry_space_group_name_H-M 'P 1'
_symmetry_Int_Tables_number 1
loop_
_symmetry_equiv_pos_as_xyz
'x,y,z'
loop_
_atom_site_label
_atom_site_fract_x
_atom_site_fract_y
_atom_site_fract_z
K1 0.000 0.000 0.000
Be1 0.250 0.750 0.500
Be2 0.750 0.250 0.500
Co1 0.500 0.500 0.000
```

Output
Space-group type: I4/mmm, No. 139
Crystal system: tetragonal
E_form, eV per formula unit: 5.27
Relative energy among the computed polymorphs, kJ per mole of atoms: 100.37
Electronic total energy, eV/atom: -2.596
V, Å³ per cell: 59.8

---

# 3
## KLiBeCo2 (GGA-PBE)

Data for a relaxed KLiBeCo2 crystal.

```
data_KLiBeCo2
_cell_length_a 4.106
_cell_length_b 4.106
_cell_length_c 5.438
_cell_angle_alpha 90.00
_cell_angle_beta 90.00
_cell_angle_gamma 90.00
_symmetry_space_group_name_H-M 'P 1'
_symmetry_Int_Tables_number 1
loop_
_symmetry_equiv_pos_as_xyz
'x,y,z'
loop_
_atom_site_label
_atom_site_fract_x
_atom_site_fract_y
_atom_site_fract_z
K1 0.000 0.000 0.000
Li1 0.500 0.500 0.000
Be1 0.000 0.000 0.500
Co1 0.000 0.500 0.500
Co2 0.500 0.000 0.500
```

Output
Space-group type: P4/mmm, No. 123
Crystal system: tetragonal
E_form, eV per formula unit: 4.49
Electronic total energy, eV/atom: -3.292
V, Å³ per cell: 91.7

---

# 4
## K2BeCoN (GGA-PBE)

Data for a relaxed K2BeCoN crystal.

```
data_K2BeCoN
_cell_length_a 6.031
_cell_length_b 6.031
_cell_length_c 3.030
_cell_angle_alpha 90.00
_cell_angle_beta 90.00
_cell_angle_gamma 90.00
_symmetry_space_group_name_H-M 'P 1'
_symmetry_Int_Tables_number 1
loop_
_symmetry_equiv_pos_as_xyz
'x,y,z'
loop_
_atom_site_label
_atom_site_fract_x
_atom_site_fract_y
_atom_site_fract_z
K1 0.000 0.500 0.000
K2 0.500 0.000 0.000
Be1 0.000 0.000 0.500
Co1 0.500 0.500 0.500
N1 0.000 0.000 0.000
```

Output
Uncorrected formation energy, eV per atom: 0.3478
Space-group type: P4/mmm, No. 123
Crystal system: tetragonal
Electronic total energy, eV/atom: -3.923
V, Å³ per cell: 110.2

---

# 5
## KNaBe2Co (GGA-PBE)

Data for a relaxed KNaBe2Co crystal.

```
data_KNaBe2Co
_cell_length_a 4.311
_cell_length_b 4.311
_cell_length_c 5.393
_cell_angle_alpha 90.00
_cell_angle_beta 90.00
_cell_angle_gamma 90.00
_symmetry_space_group_name_H-M 'P 1'
_symmetry_Int_Tables_number 1
loop_
_symmetry_equiv_pos_as_xyz
'x,y,z'
loop_
_atom_site_label
_atom_site_fract_x
_atom_site_fract_y
_atom_site_fract_z
K1 0.000 0.000 0.000
Na1 0.500 0.500 0.000
Be1 0.000 0.500 0.500
Be2 0.500 0.000 0.500
Co1 0.000 0.000 0.500
```

Output
Space-group type: P4/mmm, No. 123
Crystal system: tetragonal
E_form, eV per formula unit: 3.97
Electronic total energy, eV/atom: -2.602
V, Å³ per cell: 100.2

---

What did the first record say?
## KBe2Co (GGA-PBE)

Data for a relaxed KBe2Co crystal.

```
data_KBe2Co
_cell_length_a 4.417
_cell_length_b 4.417
_cell_length_c 4.417
_cell_angle_alpha 60.00
_cell_angle_beta 60.00
_cell_angle_gamma 60.00
_symmetry_space_group_name_H-M 'P 1'
_symmetry_Int_Tables_number 1
loop_
_symmetry_equiv_pos_as_xyz
'x,y,z'
loop_
_atom_site_label
_atom_site_fract_x
_atom_site_fract_y
_atom_site_fract_z
K1 0.000 0.000 0.000
Be1 0.500 0.500 0.500
Be2 0.750 0.750 0.750
Co1 0.250 0.250 0.250
```

Output
Space-group type: F-43m, No. 216
Crystal system: cubic
E_form, eV per formula unit: 5.54
Relative energy among the computed polymorphs, kJ per mole of atoms: 106.88
Electronic total energy, eV/atom: -2.529
V, Å³ per cell: 60.9